First-principles (SCAN) data for a crystal of Y2InAg relaxed with PBEsol, as listed in Alexandria via LeMat-Bulk.

Calculated values
- Calculated total energy: -30.67 eV/atom

abc: 3.567 3.567 7.592
angles: 90.00 90.00 90.00
Atoms (fractional coordinates):
Y 0.000 0.000 0.762
Y 0.000 0.000 0.238
Ag 0.500 0.500 0.000
In 0.500 0.500 0.500

---

First-principles (SCAN) data for a crystal of CaHgBr relaxed with PBEsol, as listed in Alexandria via LeMat-Bulk.

Calculated values
- Calculated total energy: -33.06 eV/atom
- Uncorrected formation energy: -632 meV per atom

abc: 5.121 5.121 5.121
angles: 60.00 60.00 60.00
Atoms (fractional coordinates):
Ca 0.500 0.500 0.500
Hg 0.250 0.250 0.250
Br 0.000 0.000 0.000

---

First-principles (SCAN) data for a crystal of BaHgPb2 relaxed with PBEsol, as listed in Alexandria via LeMat-Bulk.

Calculated values
- Calculated total energy: -65.34 eV/atom

abc: 5.197 5.180 6.346
angles: 114.17 90.00 120.11
Atoms (fractional coordinates):
Pb 0.993 0.986 0.980
Pb 0.732 0.465 0.198
Hg 0.270 0.540 0.809
Ba 0.505 0.009 0.513

---

First-principles (SCAN) data for a crystal of In2RuCl relaxed with PBEsol, as listed in Alexandria via LeMat-Bulk.

Calculated values
- Calculated total energy: -26.89 eV/atom
- Uncorrected formation energy: 508 meV per atom

abc: 4.738 4.738 4.738
angles: 60.00 60.00 60.00
Atoms (fractional coordinates):
Ru 0.250 0.250 0.250
Cl 0.500 0.500 0.500
In 0.000 0.000 0.000
In 0.750 0.750 0.750

---

First-principles (SCAN) data for a crystal of ZrBiH2 relaxed with PBEsol, as listed in Alexandria via LeMat-Bulk.

Calculated values
- Calculated total energy: -29.19 eV/atom

abc: 4.412 4.412 6.798
angles: 108.94 108.94 90.00
Atoms (fractional coordinates):
H 0.625 0.375 0.750
H 0.125 0.375 0.750
H 0.625 0.875 0.250
H 0.625 0.375 0.250
Bi 0.000 0.000 0.000
Bi 0.250 0.750 0.500
Zr 0.500 0.500 0.000
Zr 0.750 0.250 0.500

---

First-principles (SCAN) data for a crystal of Tl2SnSe3 relaxed with PBEsol, as listed in Alexandria via LeMat-Bulk.

Calculated values
- Calculated total energy: -40.56 eV/atom
- Uncorrected formation energy: -415 meV per atom

abc: 7.882 8.079 21.055
angles: 90.00 90.00 90.00
Atoms (fractional coordinates):
Tl 0.335 0.022 0.668
Tl 0.165 0.522 0.168
Tl 0.835 0.478 0.668
Tl 0.335 0.022 0.832
Tl 0.665 0.978 0.332
Tl 0.835 0.478 0.832
Tl 0.165 0.522 0.332
Tl 0.665 0.978 0.168
Tl 0.723 0.051 0.493
Tl 0.223 0.449 0.007
Tl 0.777 0.551 0.507
Tl 0.277 0.949 0.993
Tl 0.277 0.949 0.507
Tl 0.777 0.551 0.993
Tl 0.223 0.449 0.493
Tl 0.723 0.051 0.007
Sn 0.840 0.983 0.665
Sn 0.340 0.517 0.665
Sn 0.660 0.483 0.165
Sn 0.160 0.017 0.335
Sn 0.160 0.017 0.165
Sn 0.660 0.483 0.335
Sn 0.340 0.517 0.835
Sn 0.840 0.983 0.835
Se 0.000 0.170 0.912
Se 0.500 0.330 0.588
Se 0.500 0.670 0.088
Se 0.000 0.830 0.412
Se 0.000 0.830 0.088
Se 0.500 0.670 0.412
Se 0.500 0.330 0.912
Se 0.000 0.170 0.588
Se 0.874 0.306 0.394
Se 0.374 0.194 0.106
Se 0.626 0.806 0.606
Se 0.126 0.694 0.894
Se 0.126 0.694 0.606
Se 0.626 0.806 0.894
Se 0.374 0.194 0.394
Se 0.675 0.160 0.750
Se 0.012 0.823 0.750
Se 0.512 0.677 0.750
Se 0.488 0.323 0.250
Se 0.988 0.177 0.250
Se 0.325 0.840 0.250
Se 0.825 0.660 0.250
Se 0.175 0.340 0.750
Se 0.874 0.306 0.106

---

First-principles (SCAN) data for a crystal of BaTaCd2 relaxed with PBEsol, as listed in Alexandria via LeMat-Bulk.

Calculated values
- Calculated total energy: -41.44 eV/atom

abc: 3.134 3.134 9.465
angles: 90.00 90.00 90.00
Atoms (fractional coordinates):
Cd 0.000 0.000 0.792
Cd 0.000 0.000 0.208
Ba 0.500 0.500 0.500
Ta 0.500 0.500 0.000

---

First-principles (SCAN) data for a crystal of SiIr relaxed with PBEsol, as listed in Alexandria via LeMat-Bulk.

Calculated values
- Calculated total energy: -40.98 eV/atom
- Uncorrected formation energy: -418 meV per atom

abc: 2.803 2.803 3.335
angles: 90.00 90.00 90.00
Atoms (fractional coordinates):
Si 0.500 0.500 0.500
Ir 0.000 0.000 0.000

---

First-principles (SCAN) data for a crystal of TaBeCr2 relaxed with PBEsol, as listed in Alexandria via LeMat-Bulk.

Calculated values
- Calculated total energy: -26.78 eV/atom

abc: 3.031 4.112 4.736
angles: 115.73 108.66 90.00
Atoms (fractional coordinates):
Cr 0.014 0.014 0.029
Cr 0.732 0.232 0.463
Be 0.262 0.762 0.525
Ta 0.492 0.492 0.984

---

First-principles (SCAN) data for a crystal of TcRu2Pt relaxed with PBEsol, as listed in Alexandria via LeMat-Bulk.

Calculated values
- Calculated total energy: -43.78 eV/atom

abc: 2.676 3.839 5.383
angles: 90.00 90.00 90.00
Atoms (fractional coordinates):
Ru 0.000 0.000 0.015
Ru 0.500 0.500 0.249
Tc 0.000 0.000 0.487
Pt 0.500 0.500 0.750

---

First-principles (SCAN) data for a crystal of Tl2GaW relaxed with PBEsol, as listed in Alexandria via LeMat-Bulk.

Calculated values
- Calculated total energy: -56.45 eV/atom

abc: 4.924 4.924 4.924
angles: 60.00 60.00 60.00
Atoms (fractional coordinates):
Tl 0.250 0.250 0.250
Tl 0.750 0.750 0.750
Ga 0.000 0.000 0.000
W 0.500 0.500 0.500

---

First-principles (SCAN) data for a crystal of BaZr2Cl relaxed with PBEsol, as listed in Alexandria via LeMat-Bulk.

Calculated values
- Calculated total energy: -27.41 eV/atom
- Uncorrected formation energy: -180 meV per atom

abc: 3.252 5.466 6.607
angles: 102.27 90.00 107.31
Atoms (fractional coordinates):
Ba 0.477 0.954 0.458
Zr 0.027 0.054 0.953
Zr 0.288 0.576 0.892
Cl 0.708 0.416 0.197

---

First-principles (SCAN) data for a crystal of LiTlRe2 relaxed with PBEsol, as listed in Alexandria via LeMat-Bulk.

Calculated values
- Calculated total energy: -53.60 eV/atom

abc: 3.698 3.698 4.595
angles: 90.00 90.00 90.00
Atoms (fractional coordinates):
Li 0.000 0.000 0.500
Re 0.000 0.500 0.000
Re 0.500 0.000 0.000
Tl 0.500 0.500 0.500

---

First-principles (SCAN) data for a crystal of Fe3Ir relaxed with PBEsol, as listed in Alexandria via LeMat-Bulk.

Calculated values
- Calculated total energy: -31.29 eV/atom

abc: 2.552 3.963 4.351
angles: 90.00 90.00 90.00
Atoms (fractional coordinates):
Ir 0.000 0.500 0.333
Fe 0.000 0.000 0.985
Fe 0.500 0.000 0.515
Fe 0.500 0.500 0.834

---

First-principles (SCAN) data for a crystal of RbSb3Se5 relaxed with PBEsol, as listed in Alexandria via LeMat-Bulk.

Calculated values
- Calculated total energy: -26.36 eV/atom
- Uncorrected formation energy: -484 meV per atom

abc: 4.053 12.240 21.806
angles: 90.00 90.00 90.00
Atoms (fractional coordinates):
Rb 0.250 0.671 0.594
Rb 0.250 0.829 0.094
Rb 0.750 0.329 0.406
Rb 0.750 0.171 0.906
Sb 0.250 0.972 0.701
Sb 0.250 0.528 0.201
Sb 0.750 0.028 0.299
Sb 0.750 0.472 0.799
Sb 0.750 0.820 0.837
Sb 0.750 0.680 0.337
Sb 0.250 0.180 0.163
Sb 0.250 0.320 0.663
Sb 0.750 0.113 0.557
Sb 0.750 0.387 0.057
Sb 0.250 0.887 0.443
Sb 0.250 0.613 0.943
Se 0.750 0.818 0.705
Se 0.750 0.682 0.205
Se 0.250 0.182 0.295
Se 0.250 0.318 0.795
Se 0.750 0.152 0.683
Se 0.750 0.348 0.183
Se 0.250 0.848 0.317
Se 0.250 0.652 0.817
Se 0.250 0.978 0.835
Se 0.250 0.522 0.335
Se 0.750 0.022 0.165
Se 0.750 0.478 0.665
Se 0.750 0.776 0.963
Se 0.750 0.724 0.463
Se 0.250 0.224 0.037
Se 0.250 0.276 0.537
Se 0.250 0.950 0.575
Se 0.250 0.550 0.075
Se 0.750 0.050 0.425
Se 0.750 0.450 0.925

---

First-principles (SCAN) data for a crystal of YGe3S relaxed with PBEsol, as listed in Alexandria via LeMat-Bulk.

Calculated values
- Calculated total energy: -18.74 eV/atom
- Uncorrected formation energy: 204 meV per atom

abc: 4.799 4.799 4.799
angles: 90.00 90.00 90.00
Atoms (fractional coordinates):
Y 0.500 0.500 0.500
Ge 0.000 0.500 0.000
Ge 0.000 0.000 0.500
Ge 0.500 0.000 0.000
S 0.000 0.000 0.000

---

First-principles (SCAN) data for a crystal of BeFeSb2O relaxed with PBEsol, as listed in Alexandria via LeMat-Bulk.

Calculated values
- Calculated total energy: -20.22 eV/atom
- Uncorrected formation energy: 423 meV per atom

abc: 3.921 4.631 4.631
angles: 90.00 90.00 90.00
Atoms (fractional coordinates):
Sb 0.000 0.000 0.500
Sb 0.000 0.500 0.000
Fe 0.000 0.000 0.000
O 0.500 0.500 0.500
Be 0.500 0.000 0.000

---

First-principles (SCAN) data for a crystal of U2Co3Si relaxed with PBEsol, as listed in Alexandria via LeMat-Bulk.

Calculated values
- Calculated total energy: -45.17 eV/atom
- Uncorrected formation energy: -335 meV per atom

abc: 5.028 5.028 7.436
angles: 90.00 90.00 120.00
Atoms (fractional coordinates):
Co 0.833 0.167 0.750
Co 0.666 0.833 0.250
Co 0.167 0.833 0.250
Co 0.833 0.666 0.750
Co 0.167 0.334 0.250
Co 0.334 0.167 0.750
Si 0.000 0.000 0.500
Si 0.000 0.000 0.000
U 0.333 0.667 0.571
U 0.667 0.333 0.429
U 0.667 0.333 0.071
U 0.333 0.667 0.929

---

First-principles (SCAN) data for a crystal of Re2HgAs relaxed with PBEsol, as listed in Alexandria via LeMat-Bulk.

Calculated values
- Calculated total energy: -56.93 eV/atom

abc: 2.961 4.355 5.517
angles: 101.16 90.00 109.87
Atoms (fractional coordinates):
Re 0.740 0.480 0.701
Re 0.260 0.520 0.299
As 0.000 0.000 0.500
Hg 0.500 0.000 0.000

---

First-principles (SCAN) data for a crystal of AlNiSe relaxed with PBEsol, as listed in Alexandria via LeMat-Bulk.

Calculated values
- Calculated total energy: -14.83 eV/atom
- Uncorrected formation energy: -166 meV per atom

abc: 3.239 3.239 5.074
angles: 90.00 90.00 120.00
Atoms (fractional coordinates):
Ni 0.333 0.667 0.660
Al 0.000 0.000 0.971
Se 0.667 0.333 0.369